Entry 1:
First-principles (meta-GGA SCAN) data for ScFeNi6 at its PBEsol-relaxed geometry, as listed in the Alexandria database.

Values from the calculation:
* E_form: -0.253 eV per atom
* calculated volume: 726.8 Å³ per cell
* density: 8.28 g/cm³

CIF file:
```
data_ScFeNi6
_space_group_name_H-M_alt 'C m m m'
_space_group_IT_number 65
_space_group_name_Hall '-C 2 2'
_cell_length_a 7.115
_cell_length_b 10.093
_cell_length_c 10.121
_cell_angle_alpha 90.00
_cell_angle_beta 90.00
_cell_angle_gamma 90.00
loop_
_atom_site_label
_atom_site_fract_x
_atom_site_fract_y
_atom_site_fract_z
_atom_site_occupancy
Sc1 0.000 0.000 0.249 1
Sc2 0.000 0.246 0.500 1
Fe1 0.000 0.244 0.000 1
Fe2 0.000 0.500 0.248 1
Ni1 0.000 0.000 0.000 1
Ni2 0.000 0.000 0.500 1
Ni3 0.000 0.255 0.241 1
Ni4 0.000 0.500 0.000 1
Ni5 0.000 0.500 0.500 1
Ni6 0.241 0.377 0.369 1
Ni7 0.242 0.372 0.120 1
```

Entry 2:
First-principles (meta-GGA SCAN) data for SnI2O2 at its PBEsol-relaxed geometry, as listed in the Alexandria database.

Values from the calculation:
* calculated volume: 122.7 Å³ per cell
* density: 5.47 g/cm³
* formation energy without anion corrections: 0.24 eV per atom

CIF file:
```
data_SnI2O2
_space_group_name_H-M_alt 'P 4/m m m'
_space_group_IT_number 123
_space_group_name_Hall '-P 4 2'
_cell_length_a 4.203
_cell_length_b 4.203
_cell_length_c 6.948
_cell_angle_alpha 90.00
_cell_angle_beta 90.00
_cell_angle_gamma 90.00
loop_
_atom_site_label
_atom_site_fract_x
_atom_site_fract_y
_atom_site_fract_z
_atom_site_occupancy
Sn1 0.000 0.000 0.000 1
I1 0.500 0.500 0.000 1
I2 0.500 0.500 0.500 1
O1 0.000 0.500 0.500 1
```